Entry 1
This record from the Alexandria database describes a relaxed LiDyCl4 crystal. The functional is PBE-GGA.

Cell: 9.413 9.413 6.348 Å, 106.03 106.03 128.20°
Sites, in units of the cell vectors:
Li  0.134  0.866  0.750
Li  0.866  0.134  0.250
Dy  0.330  0.670  0.250
Dy  0.670  0.330  0.750
Cl  0.003  0.411  0.721
Cl  0.198  0.350  0.278
Cl  0.350  0.198  0.778
Cl  0.411  0.003  0.221
Cl  0.589  0.997  0.779
Cl  0.650  0.802  0.222
Cl  0.802  0.650  0.722
Cl  0.997  0.589  0.279

* crystal system: monoclinic
* space-group type: C2/c



Entry 2
This record from the Alexandria database describes a relaxed LiDyCl4 crystal. The functional is PBE-GGA.

Cell: 6.683 3.944 6.717 Å, 90.00 96.71 90.00°
Sites, in units of the cell vectors:
Li  0.000  0.000  0.000
Dy  0.000  0.500  0.500
Cl  0.198  0.500  0.188
Cl  0.225  0.000  0.680
Cl  0.775  0.000  0.320
Cl  0.802  0.500  0.812

* crystal system: monoclinic
* space-group type: P2/m



What is the most stable structure shown above? It is entry 2.